First-principles (GGA-PBE) data for a relaxed structure of AcZn12Ga4, as listed in Alexandria via LeMat-Bulk.

Structure (POSCAR):
```
AcZn12Ga4
1.0
7.667 0.000 0.000
-2.556 7.229 0.000
-2.556 -3.614 6.260
Ga Zn Ac
4 12 1
direct
0.500 0.500 0.500
0.500 0.000 0.000
0.000 0.500 0.000
0.000 0.000 0.500
0.150 0.643 0.793
0.850 0.357 0.207
0.508 0.150 0.357
0.357 0.508 0.150
0.492 0.850 0.643
0.643 0.492 0.850
0.150 0.357 0.508
0.357 0.207 0.850
0.793 0.150 0.643
0.850 0.643 0.492
0.207 0.850 0.357
0.643 0.793 0.150
0.000 0.000 0.000
```

Results
- formation energy (eV per formula unit) = 1.98
- symmetry = Im-3 (204)
- crystal system = cubic
- D(E_F) (states/eV/cell) = 10.0
- DFT total energy (eV for the cell shown) = -29.53

***

First-principles (GGA-PBE) data for a relaxed structure of LaCdTc, as listed in Alexandria via LeMat-Bulk.

Structure (POSCAR):
```
LaCdTc
1.0
4.331 0.000 0.000
0.000 5.315 -0.245
-2.165 -1.440 6.644
Tc Cd La
2 2 2
direct
0.222 0.899 0.444
0.778 0.101 0.556
0.570 0.792 0.140
0.430 0.208 0.860
0.871 0.676 0.741
0.129 0.324 0.259
```

Results
- formation energy (eV per formula unit) = -0.16
- symmetry = C2/m (12)
- distance to the lowest polymorph of the same formula (meV/atom) = 0
- crystal system = monoclinic
- D(E_F) (states/eV/cell) = 5.9
- DFT total energy (eV for the cell shown) = -32.75

***

First-principles (GGA-PBE) data for a relaxed structure of CeTiInPb, as listed in Alexandria via LeMat-Bulk.

Structure (POSCAR):
```
CeTiInPb
1.0
-3.843 2.740 2.220
-0.740 -0.252 5.157
1.127 4.115 3.000
In Ti Pb Ce
1 1 1 1
direct
0.250 0.250 0.250
0.000 0.000 0.000
0.750 0.750 0.750
0.500 0.500 0.500
```

Results
- formation energy (eV per formula unit) = -0.49
- symmetry = F-43m (216)
- crystal system = cubic
- D(E_F) (states/eV/cell) = 6.5
- DFT total energy (eV for the cell shown) = -20.76

***

First-principles (GGA-PBE) data for a relaxed structure of Pm3NdDy, as listed in Alexandria via LeMat-Bulk.

Structure (POSCAR):
```
Pm3NdDy
1.0
3.636 0.000 0.000
0.000 10.216 1.285
-1.818 1.420 9.323
Pm Nd Dy
6 2 2
direct
0.399 0.049 0.798
0.799 0.348 0.598
0.000 0.751 0.000
0.601 0.951 0.202
0.201 0.652 0.402
0.000 0.249 0.000
0.601 0.448 0.202
0.399 0.552 0.798
0.201 0.147 0.401
0.799 0.853 0.599
```

Results
- formation energy (eV per formula unit) = 0.07
- symmetry = C2/m (12)
- distance to the lowest polymorph of the same formula (meV/atom) = 0
- crystal system = monoclinic
- D(E_F) (states/eV/cell) = 13.7
- DFT total energy (eV for the cell shown) = -47.10

***

First-principles (GGA-PBE) data for a relaxed structure of ReOs, as listed in Alexandria via LeMat-Bulk.

Structure (POSCAR):
```
ReOs
1.0
-2.688 1.503 2.378
1.894 -3.246 1.009
3.712 2.901 2.363
Os Re
2 2
direct
0.000 0.000 0.000
0.000 0.000 0.500
0.333 0.667 0.250
0.667 0.333 0.750
```

Results
- formation energy (eV per formula unit) = 1.99
- symmetry = P6_3/mmc (194)
- distance to the lowest polymorph of the same formula (meV/atom) = 1088
- crystal system = hexagonal
- D(E_F) (states/eV/cell) = 5.2
- DFT total energy (eV for the cell shown) = -43.37

***

First-principles (GGA-PBE) data for a relaxed structure of LiMnAgI4, as listed in Alexandria via LeMat-Bulk.

Structure (POSCAR):
```
LiMnAgI4
1.0
-0.389 0.196 6.526
-3.536 -5.503 -0.046
7.203 -0.717 -2.827
Ag I Mn Li
1 4 1 1
direct
0.000 0.000 0.000
0.609 0.620 0.739
0.130 0.119 0.739
0.881 0.391 0.261
0.380 0.870 0.261
0.250 0.750 0.500
0.500 0.500 0.000
```

Results
- symmetry = I-4 (82)
- crystal system = tetragonal
- uncorrected formation energy (eV per atom) = -0.61
- D(E_F) (states/eV/cell) = 0.0
- DFT total energy (eV for the cell shown) = -24.38

***

Please write out number 6 again, unchanged.
First-principles (GGA-PBE) data for a relaxed structure of LiMnAgI4, as listed in Alexandria via LeMat-Bulk.

Structure (POSCAR):
```
LiMnAgI4
1.0
-0.389 0.196 6.526
-3.536 -5.503 -0.046
7.203 -0.717 -2.827
Ag I Mn Li
1 4 1 1
direct
0.000 0.000 0.000
0.609 0.620 0.739
0.130 0.119 0.739
0.881 0.391 0.261
0.380 0.870 0.261
0.250 0.750 0.500
0.500 0.500 0.000
```

Results
- symmetry = I-4 (82)
- crystal system = tetragonal
- uncorrected formation energy (eV per atom) = -0.61
- D(E_F) (states/eV/cell) = 0.0
- DFT total energy (eV for the cell shown) = -24.38

***

Copy entry 2 word for word.
First-principles (GGA-PBE) data for a relaxed structure of LaCdTc, as listed in Alexandria via LeMat-Bulk.

Structure (POSCAR):
```
LaCdTc
1.0
4.331 0.000 0.000
0.000 5.315 -0.245
-2.165 -1.440 6.644
Tc Cd La
2 2 2
direct
0.222 0.899 0.444
0.778 0.101 0.556
0.570 0.792 0.140
0.430 0.208 0.860
0.871 0.676 0.741
0.129 0.324 0.259
```

Results
- formation energy (eV per formula unit) = -0.16
- symmetry = C2/m (12)
- distance to the lowest polymorph of the same formula (meV/atom) = 0
- crystal system = monoclinic
- D(E_F) (states/eV/cell) = 5.9
- DFT total energy (eV for the cell shown) = -32.75

***

Repeat the first record exactly.
First-principles (GGA-PBE) data for a relaxed structure of AcZn12Ga4, as listed in Alexandria via LeMat-Bulk.

Structure (POSCAR):
```
AcZn12Ga4
1.0
7.667 0.000 0.000
-2.556 7.229 0.000
-2.556 -3.614 6.260
Ga Zn Ac
4 12 1
direct
0.500 0.500 0.500
0.500 0.000 0.000
0.000 0.500 0.000
0.000 0.000 0.500
0.150 0.643 0.793
0.850 0.357 0.207
0.508 0.150 0.357
0.357 0.508 0.150
0.492 0.850 0.643
0.643 0.492 0.850
0.150 0.357 0.508
0.357 0.207 0.850
0.793 0.150 0.643
0.850 0.643 0.492
0.207 0.850 0.357
0.643 0.793 0.150
0.000 0.000 0.000
```

Results
- formation energy (eV per formula unit) = 1.98
- symmetry = Im-3 (204)
- crystal system = cubic
- D(E_F) (states/eV/cell) = 10.0
- DFT total energy (eV for the cell shown) = -29.53

***

Question: Among the records above, which one has the highest DFT total energy?
Answer: CeTiInPb